{"formula": "Tb3GeTeCl", "functional": "PBE-GGA", "state": "relaxed", "cell": [[8.6786, 0.0000, 0.0000], [0.0000, 4.1782, 0.0000], [-0.7062, 0.0000, 9.7524]], "species": ["Tb", "Tb", "Tb", "Tb", "Tb", "Tb", "Ge", "Ge", "Te", "Te", "Cl", "Cl"], "frac_coords": [[0.0956, 0.2500, 0.3479], [0.1662, 0.2500, 0.9299], [0.3659, 0.7500, 0.6397], [0.6341, 0.2500, 0.3603], [0.8338, 0.7500, 0.0701], [0.9044, 0.7500, 0.6521], [0.1371, 0.2500, 0.6440], [0.8629, 0.7500, 0.3560], [0.3628, 0.7500, 0.3182], [0.6372, 0.2500, 0.6818], [0.3659, 0.7500, 0.9277], [0.6341, 0.2500, 0.0723]], "m_tot_mub_per_fu": 0.4, "dos_at_fermi_per_ev_atom": 0.5900, "rho_g_cm3": 6.7, "formation_energy_uncorrected_mev_per_atom": -1181}